A plane-wave DFT calculation with SCAN was carried out for HfZrRu2 at its PBEsol-relaxed geometry.

Values from the calculation:
The calculation puts the total magnetization at 0.00 μB/cell. As for the final energy: -41.64 eV per atom. For the formation energy, the calculation gives -3.5 eV/f.u. As for the symmetry: Fm-3m, No. 225. Its density of states at the Fermi level is 0.871 states/eV/cell.

```
4
Lattice="4.545 0.000 0.000 2.273 3.936 0.000 2.273 1.312 3.711" Properties=species:S:1:pos:R:3 pbc="T T T"
Ru 2.273 1.312 0.928
Ru 6.818 3.936 2.783
Hf 4.545 2.624 1.856
Zr 0.000 0.000 0.000
```